! ZrPa2Ge | Alexandria via LeMat-Bulk | PBE-GGA | relaxed; values from VASP
&SYSTEM
  ibrav = 0, nat = 4, ntyp = 3
/
ATOMIC_SPECIES
Zr 91.22 Zr.upf
Pa 231.04 Pa.upf
Ge 72.64 Ge.upf
CELL_PARAMETERS angstrom
3.882 0.000 0.000
0.000 3.882 0.000
0.000 0.000 6.309
ATOMIC_POSITIONS angstrom
Zr 0.000 0.000 0.000
Pa 1.941 1.941 1.803
Pa 1.941 1.941 4.506
Ge 0.000 0.000 3.155
! energy of formation from the pure elements: -0.159 eV/atom
! theoretical density: 10.93 g/cm³
! SG: P4/mmm
! crystal system: tetragonal